# 1
Nd2Dy5Sc2: relaxed, GGA-PBE.

Output
space-group type = C2/m (12)
offset from the most stable computed form = 0 meV per atom
E_form = 42 meV/atom

Cell lengths 7.8356, 7.8356, 7.8848 Å; angles 107.35, 107.35, 36.81 degrees
Element x y z (fractional)
1 Nd 0.1082 0.1082 0.1651
2 Nd 0.8918 0.8918 0.8349
3 Dy 0.0000 0.0000 0.5000
4 Dy 0.2196 0.2196 0.8342
5 Dy 0.3351 0.3351 0.4972
6 Dy 0.6649 0.6649 0.5028
7 Dy 0.7804 0.7804 0.1658
8 Sc 0.4438 0.4438 0.1639
9 Sc 0.5562 0.5562 0.8361

# 2
Nd5Dy2Sc2: relaxed, GGA-PBE.

Output
space-group type = C2/m (12)
offset from the most stable computed form = 0 meV per atom
E_form = 116 meV/atom

Cell lengths 10.1022, 10.1022, 8.5939 Å; angles 102.55, 102.55, 19.82 degrees
Element x y z (fractional)
1 Nd 0.0000 0.0000 0.0000
2 Nd 0.2180 0.2180 0.6461
3 Nd 0.3378 0.3378 0.0147
4 Nd 0.6622 0.6622 0.9853
5 Nd 0.7820 0.7820 0.3539
6 Dy 0.0547 0.0547 0.6610
7 Dy 0.9453 0.9453 0.3390
8 Sc 0.4029 0.4029 0.6499
9 Sc 0.5971 0.5971 0.3501

# 3
Nd4Dy2Sc: relaxed, GGA-PBE.

Output
space-group type = Cmmm (65)
offset from the most stable computed form = 486 meV per atom
E_form = 518 meV/atom

Cell lengths 7.1507, 7.1507, 5.9709 Å; angles 90.00, 90.00, 129.06 degrees
Element x y z (fractional)
1 Nd 0.1359 0.8641 0.0000
2 Nd 0.3126 0.6874 0.5000
3 Nd 0.6874 0.3126 0.5000
4 Nd 0.8641 0.1359 0.0000
5 Dy 0.3882 0.6118 0.0000
6 Dy 0.6118 0.3882 0.0000
7 Sc 0.0000 0.0000 0.5000

# 4
Nd8Dy4Sc: relaxed, GGA-PBE.

Output
space-group type = R-3m (166)
E_form = 476 meV/atom

Cell lengths 7.8436, 7.8436, 7.8436 Å; angles 90.74, 90.74, 90.74 degrees
Element x y z (fractional)
1 Nd 0.2410 0.2410 0.7505
2 Nd 0.2410 0.7505 0.2410
3 Nd 0.2417 0.2417 0.2417
4 Nd 0.2495 0.7590 0.7590
5 Nd 0.7505 0.2410 0.2410
6 Nd 0.7583 0.7583 0.7583
7 Nd 0.7590 0.2495 0.7590
8 Nd 0.7590 0.7590 0.2495
9 Dy 0.0000 0.0000 0.0000
10 Dy 0.0000 0.5000 0.5000
11 Dy 0.5000 0.0000 0.5000
12 Dy 0.5000 0.5000 0.0000
13 Sc 0.5000 0.5000 0.5000

# 5
Nd5Dy4Sc: relaxed, GGA-PBE.

Output
space-group type = C2/m (12)
offset from the most stable computed form = 110 meV per atom
E_form = 141 meV/atom

Cell lengths 9.2588, 9.2588, 10.3566 Å; angles 95.61, 95.61, 22.36 degrees
Element x y z (fractional)
1 Nd 0.0000 0.0000 0.0000
2 Nd 0.3109 0.3109 0.8999
3 Nd 0.3589 0.3589 0.2728
4 Nd 0.6411 0.6411 0.7272
5 Nd 0.6891 0.6891 0.1001
6 Dy 0.1812 0.1812 0.4164
7 Dy 0.4562 0.4562 0.7301
8 Dy 0.5438 0.5438 0.2699
9 Dy 0.8188 0.8188 0.5836
10 Sc 0.0000 0.0000 0.5000

# 6
Nd3DySc: relaxed, GGA-PBE.

Output
space-group type = C2/m (12)
offset from the most stable computed form = 0 meV per atom
E_form = 78 meV/atom

Cell lengths 8.3981, 8.3981, 12.2535 Å; angles 114.03, 114.03, 24.22 degrees
Element x y z (fractional)
1 Nd 0.0725 0.0725 0.4473
2 Nd 0.2882 0.2882 0.6549
3 Nd 0.3305 0.3305 0.9507
4 Nd 0.6695 0.6695 0.0493
5 Nd 0.7118 0.7118 0.3451
6 Nd 0.9275 0.9275 0.5527
7 Dy 0.3758 0.3758 0.2574
8 Dy 0.6242 0.6242 0.7426
9 Sc 0.0200 0.0200 0.1462
10 Sc 0.9800 0.9800 0.8538

Number 1: density of states at the Fermi level 13.15 states/eV/cell, V 275.4 Å³/cell. Number 2: density of states at the Fermi level 14.80 states/eV/cell, V 290.1 Å³/cell. Number 3: density of states at the Fermi level 12.03 states/eV/cell, V 237.1 Å³/cell. Number 4: density of states at the Fermi level 23.08 states/eV/cell, V 482.4 Å³/cell. Number 5: density of states at the Fermi level 14.62 states/eV/cell, V 336.1 Å³/cell. Number 6: density of states at the Fermi level 16.18 states/eV/cell, V 322.3 Å³/cell.